# Mg2AlAu7 | Alexandria via LeMat-Bulk | GGA-PBE | relaxed
data_Mg2AlAu7
_chemical_formula_sum 'Mg8 Al4 Au28'
_cell_length_a 9.942
_cell_length_b 9.942
_cell_length_c 9.942
_cell_angle_alpha 90.00
_cell_angle_beta 90.00
_cell_angle_gamma 90.00
_space_group_name_H-M_alt 'F m -3 m'
_space_group_IT_number 225
_space_group_name_Hall '-F 4 2 3'
loop_
_atom_site_label
_atom_site_type_symbol
_atom_site_fract_x
_atom_site_fract_y
_atom_site_fract_z
_atom_site_occupancy
Mg1 Mg 0.250 0.250 0.250 1
Al1 Al 0.000 0.000 0.000 1
Au1 Au 0.000 0.000 0.239 1
Au2 Au 0.000 0.000 0.500 1
# ΔH_f (0 K)	20.37	kJ per mole of atoms